! PBE+U Li2FePbF6, optimized geometry; values from VASP
&SYSTEM
  ibrav = 0, nat = 10, ntyp = 4
/
ATOMIC_SPECIES
F 19.00 F.upf
Li 6.94 Li.upf
Pb 207.20 Pb.upf
Fe 55.84 Fe.upf
ATOMIC_POSITIONS crystal
F 0.613 0.253 0.232
F 0.180 0.329 0.755
F 0.731 0.187 0.747
F 0.330 0.725 0.768
F 0.256 0.910 0.248
F 0.903 0.618 0.238
Li 0.531 0.518 0.425
Li 0.004 0.021 0.944
Pb 0.796 0.791 0.608
Fe 0.317 0.311 0.053
CELL_PARAMETERS angstrom
-4.571 -2.249 -2.175
0.217 -2.554 -4.814
-0.477 -5.844 -0.139
! * total magnetic moment: 4.0 μB/cell
! * SG: No. 1
! * E: -50.28 eV per formula unit
! * DOS(E_F): 0.0000 states/eV/atom